Material: Ho2ThGa2Cu2
Method: DFT, PBE
State: optimized geometry

Its crystal system is trigonal. Its size of the total moment is 0.0 μB/f.u. For the uncorrected energy, the calculation gives -33.4 eV/cell. Its density of states at the Fermi level is 0.843 states/eV/atom.

Cell lengths 4.4013, 4.4013, 9.4913 Å; angles 76.59, 76.59, 60.00 degrees
Last column: nearest neighbours and their distance in Å.
Fractional coordinates of all 7 atoms:
Ho: 0.1261 0.1261 0.6218  3 Ga 2.93, 3 Cu 2.97
Ho: 0.8739 0.8739 0.3782  3 Ga 2.93, 3 Cu 2.97
Th: 0.0000 0.0000 0.0000  6 Cu 3.19, 6 Ga 3.23, 2 Ho 3.46
Ga: 0.7396 0.7396 0.7812  3 Cu 2.54
Ga: 0.2604 0.2604 0.2188  3 Cu 2.54
Cu: 0.5964 0.5964 0.2108  3 Ga 2.54
Cu: 0.4036 0.4036 0.7892  3 Ga 2.54

Material: HoTiGaCu
Method: DFT, PBE
State: optimized geometry

Its crystal system is cubic. Its size of the total moment is 1.2 μB/f.u. For the uncorrected energy, the calculation gives -20.6 eV/cell. Its density of states at the Fermi level is 0.537 states/eV/atom.

Cell lengths 4.7150, 4.7150, 4.7150 Å; angles 60.00, 60.00, 60.00 degrees
Last column: nearest neighbours and their distance in Å.
Fractional coordinates of all 4 atoms:
Cu: 0.5000 0.5000 0.5000  4 Ho 2.89, 4 Ti 2.89
Ho: 0.7500 0.7500 0.7500  4 Cu 2.89, 4 Ga 2.89
Ga: 0.0000 0.0000 0.0000  4 Ho 2.89, 4 Ti 2.89
Ti: 0.2500 0.2500 0.2500  4 Cu 2.89, 4 Ga 2.89

Material: Ho2Tm2Ga4Cu
Method: DFT, PBE
State: optimized geometry

Its crystal system is tetragonal. Its size of the total moment is 0.0 μB/f.u. For the uncorrected energy, the calculation gives -37.1 eV/cell. Its density of states at the Fermi level is 0.753 states/eV/atom.

Cell lengths 6.4628, 6.4628, 6.4628 Å; angles 97.51, 115.76, 115.76 degrees
Last column: nearest neighbours and their distance in Å.
Fractional coordinates of all 9 atoms:
Ho: 0.0000 0.6914 0.6914  1 Cu 2.63
Ho: 0.0000 0.3086 0.3086  1 Cu 2.63
Tm: 0.5000 0.7500 0.2500  8 Ga 3.23, 4 Ho 3.47
Tm: 0.5000 0.2500 0.7500  8 Ga 3.23, 4 Ho 3.47
Ga: 0.0000 0.7572 0.2428  1 Cu 2.36
Ga: 0.5144 0.7572 0.7572  1 Cu 2.36
Ga: 0.0000 0.2428 0.7572  1 Cu 2.36
Ga: 0.4856 0.2428 0.2428  1 Cu 2.36
Cu: 0.0000 0.0000 0.0000  4 Ga 2.36, 2 Ho 2.63

Material: YHoGaCu
Method: DFT, PBE
State: optimized geometry

Its crystal system is cubic. Its size of the total moment is 0.0 μB/f.u. For the uncorrected energy, the calculation gives -19.9 eV/cell. Its density of states at the Fermi level is 0.792 states/eV/atom.

Cell lengths 4.9965, 4.9965, 4.9965 Å; angles 60.00, 60.00, 60.00 degrees
Last column: nearest neighbours and their distance in Å.
Fractional coordinates of all 4 atoms:
Y: 0.7500 0.7500 0.7500  4 Ga 3.06, 4 Cu 3.06
Cu: 0.0000 0.0000 0.0000  4 Ho 3.06, 4 Y 3.06
Ho: 0.2500 0.2500 0.2500  4 Cu 3.06, 4 Ga 3.06
Ga: 0.5000 0.5000 0.5000  4 Y 3.06, 4 Ho 3.06

Material: YHo2Ga2Cu2
Method: DFT, PBE
State: optimized geometry

Its crystal system is trigonal. Its size of the total moment is 0.0 μB/f.u. For the uncorrected energy, the calculation gives -32.7 eV/cell. Its density of states at the Fermi level is 0.569 states/eV/atom.

Cell lengths 4.3661, 4.3661, 9.4767 Å; angles 76.68, 76.68, 60.00 degrees
Last column: nearest neighbours and their distance in Å.
Fractional coordinates of all 7 atoms:
Y: 0.0000 0.0000 0.0000  6 Cu 3.10, 6 Ga 3.17, 2 Ho 3.40
Ho: 0.1242 0.1242 0.6275  3 Ga 2.92, 3 Cu 2.99
Ho: 0.8758 0.8758 0.3725  3 Ga 2.92, 3 Cu 2.99
Ga: 0.7369 0.7369 0.7892  3 Cu 2.52
Ga: 0.2631 0.2631 0.2108  3 Cu 2.52
Cu: 0.6009 0.6009 0.1972  3 Ga 2.52
Cu: 0.3991 0.3991 0.8028  3 Ga 2.52

Material: Ho2ZnGa6Cu
Method: DFT, PBE
State: optimized geometry

Its crystal system is trigonal. Its size of the total moment is 0.0 μB/f.u. For the uncorrected energy, the calculation gives -70.0 eV/cell. Its density of states at the Fermi level is 0.465 states/eV/atom.

Cell lengths 6.2705, 6.2705, 12.0282 Å; angles 74.89, 74.89, 60.00 degrees
Last column: nearest neighbours and their distance in Å.
Fractional coordinates of all 20 atoms:
Ho: 0.8941 0.8941 0.3178  12 Ga 3.19-3.51
Ho: 0.1059 0.1059 0.6822  12 Ga 3.19-3.51
Ho: 0.7162 0.7162 0.8513  12 Ga 3.18-3.31
Ho: 0.2838 0.2838 0.1487  12 Ga 3.18-3.31
Zn: 0.5722 0.5722 0.2834  1 Cu 2.48, 6 Ga 2.57
Zn: 0.4278 0.4278 0.7166  1 Cu 2.48, 6 Ga 2.57
Ga: 0.9318 0.3322 0.4039  1 Cu 2.43, 2 Ga 2.51, 1 Zn 2.57
Ga: 0.3322 0.9318 0.4039  1 Cu 2.43, 2 Ga 2.51, 1 Zn 2.57
Ga: 0.3322 0.3322 0.4039  1 Cu 2.43, 2 Ga 2.51, 1 Zn 2.57
Ga: 0.0682 0.6678 0.5961  1 Cu 2.43, 2 Ga 2.51, 1 Zn 2.57
Ga: 0.6678 0.0682 0.5961  1 Cu 2.43, 2 Ga 2.51, 1 Zn 2.57
Ga: 0.6678 0.6678 0.5961  1 Cu 2.43, 2 Ga 2.51, 1 Zn 2.57
Ga: 0.6558 0.2249 0.8945  1 Cu 2.39, 1 Zn 2.57
Ga: 0.2249 0.6558 0.8945  1 Cu 2.39, 1 Zn 2.57
Ga: 0.2249 0.2249 0.8945  1 Cu 2.39, 1 Zn 2.57
Ga: 0.3442 0.7751 0.1055  1 Cu 2.39, 1 Zn 2.57
Ga: 0.7751 0.3442 0.1055  1 Cu 2.39, 1 Zn 2.57
Ga: 0.7751 0.7751 0.1055  1 Cu 2.39, 1 Zn 2.57
Cu: 0.0000 0.0000 0.0000  6 Ga 2.39
Cu: 0.5000 0.5000 0.5000  6 Ga 2.43, 2 Zn 2.48

Material: Ho2Zn3Ga4Cu
Method: DFT, PBE
State: optimized geometry

Its crystal system is tetragonal. Its size of the total moment is 0.0 μB/f.u. For the uncorrected energy, the calculation gives -33.2 eV/cell. Its density of states at the Fermi level is 0.436 states/eV/atom.

Cell lengths 4.1541, 4.1541, 10.4823 Å; angles 90.00, 90.00, 90.00 degrees
Last column: nearest neighbours and their distance in Å.
Fractional coordinates of all 10 atoms:
Ho: 0.5000 0.0000 0.2553  6 Zn 3.17-3.30, 8 Ga 3.18-3.39, 2 Cu 3.30
Ho: 0.0000 0.5000 0.7447  6 Zn 3.17-3.30, 8 Ga 3.18-3.39, 2 Cu 3.30
Zn: 0.0000 0.0000 0.5000  4 Ga 2.48
Zn: 0.5000 0.0000 0.8584  5 Ga 2.40-2.55
Zn: 0.0000 0.5000 0.1416  5 Ga 2.40-2.55
Ga: 0.5000 0.5000 0.0000  4 Zn 2.55
Ga: 0.0000 0.0000 0.0000  4 Zn 2.55
Ga: 0.5000 0.0000 0.6296  3 Zn 2.40-2.48, 2 Cu 2.48
Ga: 0.0000 0.5000 0.3704  3 Zn 2.40-2.48, 2 Cu 2.48
Cu: 0.5000 0.5000 0.5000  4 Ga 2.48

Material: Ho4ZnGaCu2
Method: DFT, PBE
State: optimized geometry

Its crystal system is trigonal. Its size of the total moment is 0.0 μB/f.u. For the uncorrected energy, the calculation gives -33.6 eV/cell. Its density of states at the Fermi level is 0.698 states/eV/atom.

Cell lengths 4.9639, 4.9639, 8.6192 Å; angles 73.26, 73.26, 60.00 degrees
Last column: nearest neighbours and their distance in Å.
Fractional coordinates of all 8 atoms:
Ho: 0.3754 0.3754 0.8737  1 Zn 3.04, 3 Ga 3.04, 4 Cu 3.05-3.10
Ho: 0.8746 0.8746 0.3763  4 Cu 3.00-3.03, 3 Zn 3.04, 1 Ga 3.06
Ho: 0.1254 0.1254 0.6237  4 Cu 3.00-3.03, 3 Zn 3.04, 1 Ga 3.06
Ho: 0.6246 0.6246 0.1263  1 Zn 3.04, 3 Ga 3.04, 4 Cu 3.05-3.10
Zn: 0.5000 0.5000 0.5000  8 Ho 3.04
Ga: 0.0000 0.0000 0.0000  8 Ho 3.04-3.06
Cu: 0.7517 0.7517 0.7450  8 Ho 3.00-3.10
Cu: 0.2483 0.2483 0.2550  8 Ho 3.00-3.10

Which of these has the lowest density of states at the Fermi level?
Ho2Zn3Ga4Cu